1.
First-principles (PBE) data for crystalline AgRh3O at its relaxed geometry, as listed in the Alexandria database.

N(E_F): 2.87 states/eV/atom
E: -18.39 eV per formula unit
Energy above the most stable polymorph in this dataset: 2068 meV/atom
Space group: Pm-3m (221)

a = 4.912 Å, b = 4.912 Å, c = 4.912 Å
α = 90.00°, β = 90.00°, γ = 90.00°
Positions (direct):
Ag 0.000 0.000 0.000
O 0.500 0.500 0.500
Rh 0.000 0.500 0.000
Rh 0.500 0.000 0.000
Rh 0.000 0.000 0.500


2.
First-principles (PBE) data for crystalline Ag2RhSO at its relaxed geometry, as listed in the Alexandria database.

N(E_F): 1.36 states/eV/atom
E: -17.93 eV per formula unit
Space group: P4/mmm (123)

a = 5.233 Å, b = 4.184 Å, c = 5.233 Å
α = 90.00°, β = 90.00°, γ = 90.00°
Positions (direct):
Ag 0.500 0.000 0.000
Ag 0.000 0.000 0.500
Rh 0.000 0.000 0.000
S 0.000 0.500 0.000
O 0.500 0.500 0.500


3.
First-principles (PBE) data for crystalline Sc3Ag3RhO8 at its relaxed geometry, as listed in the Alexandria database.

N(E_F): 0.56 states/eV/atom
E: -101.88 eV per formula unit
Space group: C2/m (12)

a = 6.311 Å, b = 6.310 Å, c = 6.921 Å
α = 117.29°, β = 90.00°, γ = 120.00°
Positions (direct):
O 0.743 0.964 0.685
O 0.221 0.443 0.684
O 0.779 0.036 0.315
O 0.725 0.450 0.674
O 0.275 0.550 0.326
O 0.779 0.557 0.316
O 0.257 0.036 0.315
O 0.221 0.964 0.685
Ag 0.000 0.500 0.000
Ag 0.000 0.000 0.000
Ag 0.500 0.500 0.000
Sc 0.500 0.500 0.500
Sc 0.500 0.000 0.500
Sc 0.000 0.500 0.500
Rh 0.000 0.000 0.500


4.
First-principles (PBE) data for crystalline Sm2Ag2RhO6 at its relaxed geometry, as listed in the Alexandria database.

N(E_F): 0.52 states/eV/atom
E: -70.50 eV per formula unit
Space group: C2/m (12)

a = 6.009 Å, b = 6.009 Å, c = 6.368 Å
α = 85.39°, β = 85.39°, γ = 121.20°
Positions (direct):
Rh 0.000 0.000 0.500
O 0.038 0.736 0.329
O 0.264 0.962 0.671
O 0.736 0.038 0.329
O 0.326 0.326 0.343
O 0.674 0.674 0.657
O 0.962 0.264 0.671
Ag 0.856 0.144 0.000
Ag 0.144 0.856 0.000
Sm 0.662 0.338 0.500
Sm 0.338 0.662 0.500


5.
First-principles (PBE) data for crystalline Sr3Ag2RhO6 at its relaxed geometry, as listed in the Alexandria database.

N(E_F): 0.49 states/eV/atom
E: -64.64 eV per formula unit
Space group: P-3m1 (164)

a = 5.842 Å, b = 5.842 Å, c = 6.436 Å
α = 90.00°, β = 90.00°, γ = 120.00°
Positions (direct):
Ag 0.333 0.667 0.089
Ag 0.667 0.333 0.911
O 0.161 0.323 0.317
O 0.839 0.677 0.683
O 0.839 0.161 0.683
O 0.677 0.839 0.317
O 0.161 0.839 0.317
O 0.323 0.161 0.683
Sr 0.333 0.667 0.599
Sr 0.667 0.333 0.401
Sr 0.000 0.000 0.000
Rh 0.000 0.000 0.500


6.
First-principles (PBE) data for crystalline Sr2AgRhO6 at its relaxed geometry, as listed in the Alexandria database.

N(E_F): 0.54 states/eV/atom
E: -57.02 eV per formula unit
Space group: P2_1/c (14)

a = 5.790 Å, b = 6.091 Å, c = 7.856 Å
α = 90.00°, β = 89.84°, γ = 90.00°
Positions (direct):
Sr 0.512 0.562 0.749
Sr 0.012 0.938 0.249
Sr 0.488 0.438 0.251
Sr 0.988 0.062 0.751
Ag 0.000 0.500 0.500
Ag 0.500 0.000 0.000
Rh 0.000 0.500 0.000
Rh 0.500 0.000 0.500
O 0.403 0.962 0.742
O 0.597 0.038 0.258
O 0.224 0.176 0.457
O 0.097 0.462 0.758
O 0.776 0.824 0.543
O 0.724 0.324 0.957
O 0.276 0.676 0.043
O 0.176 0.227 0.052
O 0.676 0.273 0.552
O 0.903 0.538 0.242
O 0.324 0.727 0.448
O 0.824 0.773 0.948


7.
First-principles (PBE) data for crystalline Tb3Ag3RhO8 at its relaxed geometry, as listed in the Alexandria database.

N(E_F): 0.56 states/eV/atom
E: -96.09 eV per formula unit
Space group: C2/m (12)

a = 6.801 Å, b = 6.799 Å, c = 6.923 Å
α = 119.50°, β = 90.00°, γ = 120.01°
Positions (direct):
O 0.215 0.429 0.691
O 0.730 0.460 0.690
O 0.215 0.977 0.691
O 0.785 0.571 0.309
O 0.270 0.540 0.310
O 0.785 0.023 0.309
O 0.238 0.023 0.309
O 0.762 0.977 0.691
Ag 0.000 0.000 0.000
Ag 0.000 0.500 0.000
Ag 0.500 0.500 0.000
Tb 0.500 0.000 0.500
Tb 0.500 0.500 0.500
Tb 0.000 0.500 0.500
Rh 0.000 0.000 0.500


8.
First-principles (PBE) data for crystalline Ag2TeRh2O6 at its relaxed geometry, as listed in the Alexandria database.

N(E_F): 0.39 states/eV/atom
E: -58.51 eV per formula unit
Space group: C2/m (12)

a = 5.511 Å, b = 5.511 Å, c = 7.098 Å
α = 105.39°, β = 105.39°, γ = 118.86°
Positions (direct):
O 0.220 0.220 0.323
O 0.780 0.780 0.677
O 0.885 0.538 0.328
O 0.538 0.885 0.328
O 0.115 0.462 0.672
O 0.462 0.115 0.672
Rh 0.666 0.334 0.500
Rh 0.334 0.666 0.500
Ag 0.191 0.809 0.000
Ag 0.809 0.191 0.000
Te 0.000 0.000 0.500